Record 1
Here is a geometry-optimized HoInBi2 structure from Alexandria via LeMat-Bulk. Energies are from GGA-PBE.

abc: 8.152 8.152 8.152
angles: 31.21 31.21 31.21
Sites, in units of the cell vectors:
Ho: 0.000 0.000 0.000
In: 0.500 0.500 0.500
Bi: 0.250 0.250 0.250
Bi: 0.750 0.750 0.750

## Properties
The energy relative to the lowest polymorph listed for this composition is 158.2 meV/atom. The energy relative to the elements is -0.21 eV per atom. As for the total magnetization: 0.00 μB per atom. For the total DFT energy (no corrections), the calculation gives -3.98 eV/atom.



Record 2
Here is a geometry-optimized Ho8InBi2 structure from Alexandria via LeMat-Bulk. Energies are from GGA-PBE.

abc: 8.246 8.246 5.958
angles: 98.95 98.95 118.02
Sites, in units of the cell vectors:
Ho: 0.092 0.318 0.655
Ho: 0.231 0.769 0.000
Ho: 0.318 0.092 0.655
Ho: 0.395 0.395 0.204
Ho: 0.605 0.605 0.796
Ho: 0.682 0.908 0.345
Ho: 0.769 0.231 0.000
Ho: 0.908 0.682 0.345
In: 0.000 0.000 0.000
Bi: 0.304 0.696 0.500
Bi: 0.696 0.304 0.500

## Properties
The energy relative to the elements is -0.22 eV per atom. As for the total magnetization: 0.00 μB per atom. For the total DFT energy (no corrections), the calculation gives -4.51 eV/atom.



Record 3
Here is a geometry-optimized HoMgInBi structure from Alexandria via LeMat-Bulk. Energies are from GGA-PBE.

abc: 5.337 5.337 5.337
angles: 60.00 60.00 60.00
Sites, in units of the cell vectors:
Ho: 0.000 0.000 0.000
Mg: 0.500 0.500 0.500
In: 0.250 0.250 0.250
Bi: 0.750 0.750 0.750

## Properties
The energy relative to the elements is -0.24 eV per atom. As for the total magnetization: 0.00 μB per atom. For the total DFT energy (no corrections), the calculation gives -3.43 eV/atom.



Record 4
Here is a geometry-optimized NaHoInBi structure from Alexandria via LeMat-Bulk. Energies are from GGA-PBE.

abc: 5.423 5.423 5.423
angles: 60.00 60.00 60.00
Sites, in units of the cell vectors:
Na: 0.000 0.000 0.000
Ho: 0.500 0.500 0.500
In: 0.750 0.750 0.750
Bi: 0.250 0.250 0.250

## Properties
The energy relative to the elements is -0.28 eV per atom. As for the total magnetization: 0.00 μB per atom. For the total DFT energy (no corrections), the calculation gives -3.41 eV/atom.



Record 5
Here is a geometry-optimized Ho4InBiTe2 structure from Alexandria via LeMat-Bulk. Energies are from GGA-PBE.

abc: 7.657 4.299 7.671
angles: 90.00 108.64 90.00
Sites, in units of the cell vectors:
Ho: 0.242 0.000 0.255
Ho: 0.244 0.500 0.744
Ho: 0.756 0.500 0.256
Ho: 0.758 0.000 0.745
In: 0.000 0.000 0.500
Bi: 0.000 0.500 0.000
Te: 0.500 0.000 0.000
Te: 0.500 0.500 0.500

## Properties
The uncorrected formation energy is -0.93 eV per atom. As for the total magnetization: 0.00 μB per atom. For the total DFT energy (no corrections), the calculation gives -4.83 eV/atom.



Record 6
Here is a geometry-optimized HoBiIr structure from Alexandria via LeMat-Bulk. Energies are from GGA-PBE.

abc: 11.541 11.541 11.541
angles: 161.16 161.16 26.77
Sites, in units of the cell vectors:
Ho: 0.167 0.167 0.000
Ho: 0.833 0.833 0.000
Bi: 0.422 0.422 0.000
Bi: 0.578 0.578 0.000
Ir: 0.293 0.293 0.000
Ir: 0.707 0.707 0.000

## Properties
The energy relative to the elements is -0.34 eV per atom. As for the total magnetization: 0.00 μB per atom. For the total DFT energy (no corrections), the calculation gives -6.11 eV/atom.



Q: Look up the total DFT energy (no corrections) of the fourth one.
A: -3.41 eV/atom